# TaTi2Ge (GGA-PBE, relaxed)
# E_tot   -8.405 eV/atom
# V   16.3 Å³/atom
# Energy of formation from the pure elements   -0.340 eV/atom
data_TaTi2Ge
_chemical_formula_sum 'Ta1 Ti2 Ge1'
_cell_length_a 4.3090
_cell_length_b 4.3090
_cell_length_c 3.5208
_cell_angle_alpha 90.00
_cell_angle_beta 90.00
_cell_angle_gamma 90.00
_space_group_name_H-M_alt 'P 4/m m m'
_space_group_IT_number 123
_space_group_name_Hall '-P 4 2'
loop_
_atom_site_label
_atom_site_type_symbol
_atom_site_fract_x
_atom_site_fract_y
_atom_site_fract_z
_atom_site_occupancy
Ta1 Ta 0.0000 0.0000 0.0000 1
Ti1 Ti 0.0000 0.5000 0.5000 1
Ge1 Ge 0.5000 0.5000 0.0000 1